1.
Density functional theory data (PBE-GGA) for a geometry-optimized SmAlNi structure.

```
12
Lattice="2.739 -4.696 0.000 2.739 4.696 0.000 0.000 0.000 8.536" Properties=species:S:1:pos:R:3 pbc="T T T"
Sm 2.739 1.566 1.778
Sm 2.739 -1.602 2.768
Sm 2.739 -1.602 5.768
Sm 2.739 1.566 6.758
Al 2.739 -4.662 2.211
Al 2.739 -4.662 6.326
Al 4.091 -0.812 0.000
Al 1.386 -0.812 0.000
Ni 2.739 -3.130 0.000
Ni 1.359 0.783 4.268
Ni 4.119 0.783 4.268
Ni 2.739 3.190 4.268
```

Final energy, eV per cell: -62.5
Crystal system: orthorhombic
Energy relative to the elements, meV/atom: -458

---

2.
Density functional theory data (PBE-GGA) for a geometry-optimized SmTmAlNi structure.

```
4
Lattice="4.992 0.000 0.000 2.496 4.323 0.000 2.496 1.441 4.076" Properties=species:S:1:pos:R:3 pbc="T T T"
Ni 2.496 1.441 1.019
Tm 4.992 2.882 2.038
Al 7.488 4.323 3.057
Sm 0.000 0.000 0.000
```

Final energy, eV per cell: -19.9
Crystal system: cubic
Energy relative to the elements, meV/atom: -291

---

3.
Density functional theory data (PBE-GGA) for a geometry-optimized SmAlZn2Ni4 structure.

```
8
Lattice="-1.704 -2.118 3.052 0.921 -3.949 0.511 5.923 0.054 6.081" Properties=species:S:1:pos:R:3 pbc="T T T"
Sm 0.000 0.000 0.000
Al 2.570 -3.006 4.822
Zn 3.643 -4.581 7.064
Zn 1.497 -1.432 2.579
Ni 4.337 -2.413 6.220
Ni 1.647 -5.251 5.484
Ni 3.494 -0.762 4.159
Ni 0.804 -3.599 3.424
```

Final energy, eV per cell: -36.9
Crystal system: trigonal
Energy relative to the elements, meV/atom: -346

---

4.
Density functional theory data (PBE-GGA) for a geometry-optimized Sm3AlZn2Ni9 structure.

```
15
Lattice="-4.761 -0.497 2.040 4.127 -1.914 2.527 1.274 9.840 5.371" Properties=species:S:1:pos:R:3 pbc="T T T"
Sm 2.126 5.987 6.420
Sm 0.000 0.000 0.000
Sm -1.486 1.442 3.519
Al 0.637 4.920 2.685
Zn 1.378 0.213 3.268
Zn -0.739 7.216 6.670
Ni -2.391 5.732 5.658
Ni -0.399 4.808 6.878
Ni -0.092 5.972 4.673
Ni 0.731 1.457 5.266
Ni 1.038 2.621 3.061
Ni 3.030 1.697 4.281
Ni -2.381 -0.249 1.020
Ni 2.063 -0.957 1.264
Ni -0.317 -1.205 2.284
```

Final energy, eV per cell: -73.8
Crystal system: trigonal
Energy relative to the elements, meV/atom: -91

---

5.
Density functional theory data (PBE-GGA) for a geometry-optimized SmAl2ZnNi4 structure.

```
8
Lattice="4.057 0.000 0.000 2.028 3.513 0.000 2.028 1.171 8.352" Properties=species:S:1:pos:R:3 pbc="T T T"
Sm 0.000 0.000 0.000
Al 6.085 3.513 5.913
Al 2.028 1.171 2.439
Zn 4.057 2.342 4.176
Ni 4.057 2.342 6.549
Ni 6.085 3.513 3.293
Ni 2.028 1.171 5.059
Ni 4.057 2.342 1.803
```

Final energy, eV per cell: -40.2
Crystal system: trigonal
Energy relative to the elements, meV/atom: -450

---

6.
Density functional theory data (PBE-GGA) for a geometry-optimized Sm2Al2ZnNi5 structure.

```
20
Lattice="3.070 0.000 0.000 0.000 10.110 0.000 0.000 0.000 10.110" Properties=species:S:1:pos:R:3 pbc="T T T"
Sm 0.000 6.818 1.763
Sm 0.000 3.292 8.347
Sm 0.000 1.763 3.292
Sm 0.000 8.347 6.818
Al 0.000 1.279 6.334
Al 0.000 8.831 3.776
Al 0.000 6.334 8.831
Al 0.000 3.776 1.279
Zn 0.000 0.000 0.000
Zn 0.000 5.055 5.055
Ni 1.535 1.977 0.527
Ni 1.535 8.133 9.583
Ni 1.535 0.527 8.133
Ni 1.535 7.032 4.528
Ni 1.535 9.583 1.977
Ni 1.535 3.078 5.582
Ni 1.535 5.582 7.032
Ni 1.535 4.528 3.078
Ni 1.535 5.055 0.000
Ni 1.535 0.000 5.055
```

Final energy, eV per cell: -99.6
Crystal system: tetragonal
Energy relative to the elements, meV/atom: -269

---

Q: Among the records above, which one has the lowest final energy?
A: Sm2Al2ZnNi5

---

Q: Which formula does entry 6 have?
A: Sm2Al2ZnNi5

---

Q: The lowest energy relative to the elements belongs to which entry?
A: SmAlNi

---

Q: What is the energy relative to the elements in the third record?
A: -346 meV/atom